Ti3N | GGA-PBE | optimized geometry

Calculated values
* formation energy without anion corrections: -0.59 eV/atom

abc: 2.820 7.837 4.943
angles: 90.00 90.00 90.00
Sites, in units of the cell vectors:
Ti (0.000, 0.000, 0.000)
Ti (0.000, 0.172, 0.512)
Ti (0.000, 0.828, 0.512)
Ti (0.500, 0.328, 0.012)
Ti (0.500, 0.500, 0.500)
Ti (0.500, 0.672, 0.012)
N (0.000, 0.500, 0.803)
N (0.500, 0.000, 0.303)

Ti3N | GGA-PBE | optimized geometry

Calculated values
* formation energy without anion corrections: 0.35 eV/atom

abc: 3.495 3.495 8.634
angles: 90.00 90.00 90.00
Sites, in units of the cell vectors:
Ti (0.000, 0.000, 0.000)
Ti (0.000, 0.500, 0.250)
Ti (0.000, 0.500, 0.750)
Ti (0.500, 0.000, 0.250)
Ti (0.500, 0.000, 0.750)
Ti (0.500, 0.500, 0.500)
N (0.000, 0.000, 0.500)
N (0.500, 0.500, 0.000)

Ti3N4 | GGA-PBE | optimized geometry

Calculated values
* formation energy without anion corrections: -1.32 eV/atom

abc: 9.383 3.013 10.027
angles: 90.00 90.00 90.00
Sites, in units of the cell vectors:
Ti (0.070, 0.250, 0.125)
Ti (0.109, 0.250, 0.593)
Ti (0.222, 0.250, 0.856)
Ti (0.278, 0.750, 0.356)
Ti (0.391, 0.750, 0.093)
Ti (0.430, 0.750, 0.625)
Ti (0.570, 0.250, 0.375)
Ti (0.609, 0.250, 0.907)
Ti (0.722, 0.250, 0.644)
Ti (0.778, 0.750, 0.144)
Ti (0.891, 0.750, 0.407)
Ti (0.930, 0.750, 0.875)
N (0.009, 0.250, 0.774)
N (0.104, 0.750, 0.467)
N (0.141, 0.750, 0.984)
N (0.240, 0.750, 0.714)
N (0.260, 0.250, 0.214)
N (0.359, 0.250, 0.484)
N (0.396, 0.250, 0.967)
N (0.491, 0.750, 0.274)
N (0.509, 0.250, 0.726)
N (0.604, 0.750, 0.033)
N (0.641, 0.750, 0.516)
N (0.740, 0.750, 0.786)
N (0.760, 0.250, 0.286)
N (0.859, 0.250, 0.016)
N (0.896, 0.250, 0.533)
N (0.991, 0.750, 0.226)

Ti3N | GGA-PBE | optimized geometry

Calculated values
* formation energy without anion corrections: -0.97 eV/atom

abc: 5.149 5.149 4.850
angles: 90.00 90.00 120.00
Sites, in units of the cell vectors:
Ti (0.000, 0.346, 0.000)
Ti (0.000, 0.654, 0.500)
Ti (0.346, 0.000, 0.000)
Ti (0.346, 0.346, 0.500)
Ti (0.654, 0.000, 0.500)
Ti (0.654, 0.654, 0.000)
N (0.333, 0.667, 0.250)
N (0.667, 0.333, 0.750)

Ti3N | GGA-PBE | optimized geometry

Calculated values
* formation energy without anion corrections: -0.54 eV/atom

abc: 7.108 7.108 7.108
angles: 95.77 95.77 143.04
Sites, in units of the cell vectors:
Ti (0.000, 0.363, 0.363)
Ti (0.000, 0.637, 0.637)
Ti (0.108, 0.306, 0.000)
Ti (0.153, 0.153, 0.625)
Ti (0.306, 0.108, 0.000)
Ti (0.363, 0.000, 0.363)
Ti (0.472, 0.847, 0.000)
Ti (0.528, 0.528, 0.375)
Ti (0.637, 0.000, 0.637)
Ti (0.694, 0.694, 0.802)
Ti (0.847, 0.472, 0.000)
Ti (0.892, 0.892, 0.198)
N (0.190, 0.500, 0.690)
N (0.500, 0.190, 0.690)
N (0.500, 0.810, 0.310)
N (0.810, 0.500, 0.310)

Ti4N3 | GGA-PBE | optimized geometry

Calculated values
* formation energy without anion corrections: -1.58 eV/atom

abc: 5.976 8.439 3.021
angles: 90.00 90.00 90.00
Sites, in units of the cell vectors:
Ti (0.000, 0.245, 0.000)
Ti (0.000, 0.755, 0.000)
Ti (0.238, 0.000, 0.500)
Ti (0.262, 0.500, 0.500)
Ti (0.500, 0.255, 0.000)
Ti (0.500, 0.745, 0.000)
Ti (0.738, 0.500, 0.500)
Ti (0.762, 0.000, 0.500)
N (0.000, 0.000, 0.000)
N (0.250, 0.250, 0.500)
N (0.250, 0.750, 0.500)
N (0.500, 0.500, 0.000)
N (0.750, 0.250, 0.500)
N (0.750, 0.750, 0.500)

Ti4N3 | GGA-PBE | optimized geometry

Calculated values
* formation energy without anion corrections: -1.52 eV/atom

abc: 11.101 2.983 5.182
angles: 90.00 117.27 90.00
Sites, in units of the cell vectors:
Ti (0.128, 0.000, 0.451)
Ti (0.130, 0.500, 0.976)
Ti (0.370, 0.000, 0.024)
Ti (0.372, 0.500, 0.549)
Ti (0.628, 0.500, 0.451)
Ti (0.630, 0.000, 0.976)
Ti (0.870, 0.500, 0.024)
Ti (0.872, 0.000, 0.549)
N (0.000, 0.000, 0.000)
N (0.236, 0.500, 0.734)
N (0.264, 0.000, 0.266)
N (0.500, 0.500, 0.000)
N (0.736, 0.000, 0.734)
N (0.764, 0.500, 0.266)

Ti3N4 | GGA-PBE | optimized geometry

Calculated values
* formation energy without anion corrections: -1.30 eV/atom

abc: 8.530 8.530 6.333
angles: 90.00 90.00 120.00
Sites, in units of the cell vectors:
Ti (0.081, 0.827, 0.000)
Ti (0.085, 0.505, 0.713)
Ti (0.173, 0.254, 0.000)
Ti (0.254, 0.173, 0.500)
Ti (0.420, 0.915, 0.713)
Ti (0.495, 0.580, 0.713)
Ti (0.505, 0.085, 0.213)
Ti (0.580, 0.495, 0.213)
Ti (0.746, 0.919, 0.000)
Ti (0.827, 0.081, 0.500)
Ti (0.915, 0.420, 0.213)
Ti (0.919, 0.746, 0.500)
N (0.000, 0.000, 0.490)
N (0.000, 0.000, 0.990)
N (0.013, 0.684, 0.748)
N (0.045, 0.384, 0.985)
N (0.316, 0.329, 0.748)
N (0.329, 0.316, 0.248)
N (0.333, 0.667, 0.648)
N (0.339, 0.955, 0.985)
N (0.384, 0.045, 0.485)
N (0.616, 0.661, 0.985)
N (0.661, 0.616, 0.485)
N (0.667, 0.333, 0.148)
N (0.671, 0.987, 0.748)
N (0.684, 0.013, 0.248)
N (0.955, 0.339, 0.485)
N (0.987, 0.671, 0.248)

Ti3N | GGA-PBE | optimized geometry

Calculated values
* formation energy without anion corrections: -0.53 eV/atom

abc: 2.755 2.841 7.291
angles: 90.00 90.00 90.00
Sites, in units of the cell vectors:
Ti (0.000, 0.000, 0.000)
Ti (0.000, 0.500, 0.337)
Ti (0.500, 0.500, 0.716)
N (0.500, 0.000, 0.232)

Ti3N | GGA-PBE | optimized geometry

Calculated values
* formation energy without anion corrections: 0.36 eV/atom

abc: 3.697 3.697 3.697
angles: 90.00 90.00 90.00
Sites, in units of the cell vectors:
Ti (0.000, 0.000, 0.500)
Ti (0.000, 0.500, 0.000)
Ti (0.500, 0.000, 0.000)
N (0.500, 0.500, 0.500)

Ti8N5 | GGA-PBE | optimized geometry

Calculated values
* formation energy without anion corrections: -1.43 eV/atom

abc: 4.202 4.202 8.612
angles: 90.00 90.00 90.00
Sites, in units of the cell vectors:
Ti (0.000, 0.000, 0.241)
Ti (0.000, 0.000, 0.759)
Ti (0.000, 0.500, 0.514)
Ti (0.000, 0.500, 0.984)
Ti (0.500, 0.000, 0.016)
Ti (0.500, 0.000, 0.486)
Ti (0.500, 0.500, 0.256)
Ti (0.500, 0.500, 0.744)
N (0.000, 0.000, 0.000)
N (0.000, 0.500, 0.751)
N (0.500, 0.000, 0.249)
N (0.500, 0.500, 0.000)
N (0.500, 0.500, 0.500)

Ti3N4 | GGA-PBE | optimized geometry

Calculated values
* formation energy without anion corrections: -1.28 eV/atom

abc: 4.159 4.159 8.411
angles: 90.00 90.00 90.00
Sites, in units of the cell vectors:
Ti (0.000, 0.000, 0.000)
Ti (0.000, 0.500, 0.250)
Ti (0.000, 0.500, 0.750)
Ti (0.500, 0.000, 0.250)
Ti (0.500, 0.000, 0.750)
Ti (0.500, 0.500, 0.500)
N (0.000, 0.000, 0.240)
N (0.000, 0.000, 0.760)
N (0.000, 0.500, 0.000)
N (0.000, 0.500, 0.500)
N (0.500, 0.000, 0.000)
N (0.500, 0.000, 0.500)
N (0.500, 0.500, 0.260)
N (0.500, 0.500, 0.740)